[1]
VASP calculation (PBE) on an optimized crystal structure of RbNaIO2.

Size of the total moment in μB per formula unit: 3.05
Density of states at the Fermi level in states/eV/cell: 6.51
E_form (uncorrected) in kJ/mol of atoms: -3
Calculated density in g/cm³: 2.24
Energy above the lowest structure with this stoichiometry in kJ per mole of atoms: 24.41

a = 5.134 Å, b = 5.134 Å, c = 7.511 Å
α = 90.00°, β = 90.00°, γ = 90.00°
Space group P4/mmm (No. 123)
Unique sites:
Rb1 0.000 0.000 0.000 [1 per cell]
Na1 0.500 0.500 0.500 [1 per cell]
I1 0.000 0.000 0.500 [1 per cell]
O1 0.000 0.500 0.000 [2 per cell]

[2]
VASP calculation (PBE) on an optimized crystal structure of NaReIO2.

Size of the total moment in μB per formula unit: 0.40
Density of states at the Fermi level in states/eV/cell: 1.46
E_form (uncorrected) in kJ/mol of atoms: -89
Calculated density in g/cm³: 6.52
Energy above the lowest structure with this stoichiometry in kJ per mole of atoms: 0.00

a = 3.910 Å, b = 3.910 Å, c = 6.135 Å
α = 90.00°, β = 90.00°, γ = 90.00°
Space group P4/mmm (No. 123)
Unique sites:
Na1 0.000 0.000 0.000 [1 per cell]
Re1 0.500 0.500 0.500 [1 per cell]
I1 0.500 0.500 0.000 [1 per cell]
O1 0.000 0.500 0.500 [2 per cell]

[3]
VASP calculation (PBE) on an optimized crystal structure of NaReIO2.

Size of the total moment in μB per formula unit: 2.33
Density of states at the Fermi level in states/eV/cell: 6.25
E_form (uncorrected) in kJ/mol of atoms: 120
Calculated density in g/cm³: 6.01
Energy above the lowest structure with this stoichiometry in kJ per mole of atoms: 209.47

a = 4.220 Å, b = 4.220 Å, c = 5.709 Å
α = 90.00°, β = 90.00°, γ = 90.00°
Space group P4/mmm (No. 123)
Unique sites:
Na1 0.000 0.000 0.000 [1 per cell]
Re1 0.500 0.500 0.500 [1 per cell]
I1 0.000 0.000 0.500 [1 per cell]
O1 0.000 0.500 0.000 [2 per cell]

[4]
VASP calculation (PBE) on an optimized crystal structure of Na2RhIO6.

Size of the total moment in μB per formula unit: 2.00
Density of states at the Fermi level in states/eV/cell: 5.47
E_form (uncorrected) in kJ/mol of atoms: -74
Calculated density in g/cm³: 4.62

a = 10.879 Å, b = 5.372 Å, c = 4.967 Å
α = 90.00°, β = 112.88°, γ = 90.00°
Space group C2/m (No. 12)
Unique sites:
Na1 0.241 0.000 0.206 [4 per cell]
Rh1 0.000 0.000 0.500 [2 per cell]
I1 0.000 0.500 0.000 [2 per cell]
O1 0.073 0.248 0.813 [8 per cell]
O2 0.168 0.500 0.295 [4 per cell]

[5]
VASP calculation (PBE) on an optimized crystal structure of NaRhIO2.

Size of the total moment in μB per formula unit: 2.07
Density of states at the Fermi level in states/eV/cell: 8.39
E_form (uncorrected) in kJ/mol of atoms: 83
Calculated density in g/cm³: 4.66
Energy above the lowest structure with this stoichiometry in kJ per mole of atoms: 128.56

a = 4.112 Å, b = 4.112 Å, c = 6.007 Å
α = 90.00°, β = 90.00°, γ = 90.00°
Space group P4/mmm (No. 123)
Unique sites:
Na1 0.000 0.000 0.000 [1 per cell]
Rh1 0.500 0.500 0.500 [1 per cell]
I1 0.000 0.000 0.500 [1 per cell]
O1 0.000 0.500 0.000 [2 per cell]

[6]
VASP calculation (PBE) on an optimized crystal structure of NaRhIO2.

Size of the total moment in μB per formula unit: 2.03
Density of states at the Fermi level in states/eV/cell: 4.21
E_form (uncorrected) in kJ/mol of atoms: -45
Calculated density in g/cm³: 5.08
Energy above the lowest structure with this stoichiometry in kJ per mole of atoms: 0.00

a = 4.006 Å, b = 4.006 Å, c = 5.798 Å
α = 90.00°, β = 90.00°, γ = 90.00°
Space group P4/mmm (No. 123)
Unique sites:
Na1 0.000 0.000 0.000 [1 per cell]
Rh1 0.500 0.500 0.500 [1 per cell]
I1 0.500 0.500 0.000 [1 per cell]
O1 0.000 0.500 0.500 [2 per cell]